No. 1
An optimized crystal structure of LaMgRu2. Source: Alexandria via LeMat-Bulk, functional PBE-GGA.

Cell and atoms, written as POSCAR:
```
LaMgRu2
1.0
-1.170 -2.866 3.336
4.265 0.103 1.585
-0.585 5.637 7.742
Ru La Mg
4 2 2
Direct
0.271 0.625 0.250
0.479 0.125 0.250
0.875 0.729 0.750
0.375 0.521 0.750
0.000 0.000 0.000
0.750 0.250 0.500
0.500 0.500 0.000
0.250 0.750 0.500
```

Values from the calculation:
Space group: I-42d



No. 2
An optimized crystal structure of LaMgRu2. Source: Alexandria via LeMat-Bulk, functional PBE-GGA.

Cell and atoms, written as POSCAR:
```
LaMgRu2
1.0
5.613 0.004 0.000
2.847 4.837 0.000
-4.230 -2.421 2.784
Ru Mg La
2 1 1
Direct
0.250 0.750 0.500
0.000 0.000 0.000
0.750 0.250 0.500
0.500 0.500 0.000
```

Values from the calculation:
Space group: I-4m2



No. 3
An optimized crystal structure of La4MgRu. Source: Alexandria via LeMat-Bulk, functional PBE-GGA.

Cell and atoms, written as POSCAR:
```
La4MgRu
1.0
6.250 -0.994 0.000
-2.074 9.502 0.000
-2.088 -4.254 6.562
La Ru Mg
8 2 2
Direct
0.598 0.050 0.325
0.402 0.950 0.675
0.241 0.626 0.815
0.074 0.189 0.815
0.227 0.275 0.325
0.773 0.725 0.675
0.759 0.374 0.185
0.926 0.811 0.185
0.252 0.002 0.004
0.748 0.998 0.996
0.634 0.384 0.767
0.366 0.616 0.233
```

Values from the calculation:
Energy relative to the lowest polymorph listed for this composition: 72.6 meV/atom
Space group: C2/c



Ordered density results: 6.48 8.03 6.01; unit g/cm³.
Ordered DFT total energy results: -5.88 -6.06 -5.25; unit eV per atom.